# 1
Below is a relaxed structure of RbAsAu2, with properties calculated at the PBE-GGA level.

Cell: 5.933 5.933 15.688 Å, 90.00 90.00 90.00°
Space group I4_1/amd (No. 141, origin choice 2)
Asymmetric unit:
Rb 0.000 0.250 0.375 (multiplicity 4)
As 0.000 0.250 0.875 (multiplicity 4)
Au 0.000 0.000 0.000 (multiplicity 8)

V, Å³ per atom: 34.52
Energy, eV per atom: -3.38

# 2
Below is a relaxed structure of Rb5As2Au, with properties calculated at the PBE-GGA level.

Cell: 6.0236 6.0236 19.9354 Å, 90.00 90.00 120.00°
Space group P6_3/mmc (No. 194)
Asymmetric unit:
Rb 0.0000 0.0000 0.1473 (multiplicity 4)
Rb 0.3333 0.6667 0.0494 (multiplicity 4)
Rb 0.3333 0.6667 0.2500 (multiplicity 2)
As 0.3333 0.6667 0.6232 (multiplicity 4)
Au 0.3333 0.6667 0.7500 (multiplicity 2)

V, Å³ per atom: 39.15
Energy, eV per atom: -2.57

# 3
Below is a relaxed structure of Rb4SbAsAu2, with properties calculated at the PBE-GGA level.

Cell: 6.768 10.746 7.845 Å, 90.00 90.00 90.00°
Space group Amm2 (No. 38)
Asymmetric unit:
Rb 0.000 0.166 0.000 (multiplicity 4)
Rb 0.500 0.176 0.680 (multiplicity 4)
Sb 0.000 0.000 0.577 (multiplicity 2)
As 0.500 0.000 0.073 (multiplicity 2)
Au 0.267 0.000 0.325 (multiplicity 4)

V, Å³ per atom: 35.66
Energy, eV per atom: -2.89

# 4
Below is a relaxed structure of RbTl3As2Au2, with properties calculated at the PBE-GGA level.

Cell: 6.157 6.283 6.329 Å, 90.00 108.75 90.00°
Space group Pm (No. 6)
Asymmetric unit:
Rb 0.000 0.000 0.000 (multiplicity 1)
Tl 0.027 0.500 0.335 (multiplicity 1)
Tl 0.353 0.000 0.649 (multiplicity 1)
Tl 0.664 0.500 0.647 (multiplicity 1)
As 0.270 0.500 0.867 (multiplicity 1)
As 0.768 0.000 0.441 (multiplicity 1)
Au 0.536 0.251 0.145 (multiplicity 2)

V, Å³ per atom: 28.98
Energy, eV per atom: -3.14

# 5
Below is a relaxed structure of Re2AsAu, with properties calculated at the PBE-GGA level.

Cell: 6.379 6.379 6.379 Å, 90.00 90.00 90.00°
Space group F-43m (No. 216)
Asymmetric unit:
Re 0.000 0.000 0.000 (multiplicity 4)
Re 0.250 0.250 0.250 (multiplicity 4)
As 0.000 0.000 0.500 (multiplicity 4)
Au 0.250 0.250 0.750 (multiplicity 4)

V, Å³ per atom: 16.23
Energy, eV per atom: -7.42

# 6
Below is a relaxed structure of Re3As5Au, with properties calculated at the PBE-GGA level.

Cell: 5.3058 5.3058 7.4748 Å, 90.00 90.00 120.00°
Space group P6/mmm (No. 191)
Asymmetric unit:
Re 0.0000 0.5000 0.0000 (multiplicity 3)
As 0.0000 0.0000 0.0000 (multiplicity 1)
As 0.3333 0.6667 0.2873 (multiplicity 4)
Au 0.0000 0.0000 0.5000 (multiplicity 1)

V, Å³ per atom: 20.25
Energy, eV per atom: -6.64

# 7
Below is a relaxed structure of ReSbAsAu, with properties calculated at the PBE-GGA level.

Cell: 6.661 6.661 6.661 Å, 90.00 90.00 90.00°
Space group F-43m (No. 216)
Asymmetric unit:
Re 0.000 0.000 0.000 (multiplicity 4)
Sb 0.250 0.250 0.250 (multiplicity 4)
As 0.250 0.250 0.750 (multiplicity 4)
Au 0.000 0.000 0.500 (multiplicity 4)

V, Å³ per atom: 18.47
Energy relative to the lowest polymorph listed for this composition, eV/f.u.: 0.000

# 8
Below is a relaxed structure of Sb2AsAu, with properties calculated at the PBE-GGA level.

Cell: 7.161 7.161 7.161 Å, 90.00 90.00 90.00°
Space group F-43m (No. 216)
Asymmetric unit:
Sb 0.000 0.000 0.000 (multiplicity 4)
Sb 0.250 0.250 0.250 (multiplicity 4)
As 0.000 0.000 0.500 (multiplicity 4)
Au 0.250 0.250 0.750 (multiplicity 4)

V, Å³ per atom: 22.95
Energy, eV per atom: -3.72

# 9
Below is a relaxed structure of TcSbAsAu, with properties calculated at the PBE-GGA level.

Cell: 6.681 6.681 6.681 Å, 90.00 90.00 90.00°
Space group F-43m (No. 216)
Asymmetric unit:
Tc 0.000 0.000 0.000 (multiplicity 4)
Sb 0.250 0.250 0.250 (multiplicity 4)
As 0.250 0.250 0.750 (multiplicity 4)
Au 0.000 0.000 0.500 (multiplicity 4)

V, Å³ per atom: 18.64
Energy relative to the lowest polymorph listed for this composition, eV/f.u.: 0.000

# 10
Below is a relaxed structure of ScAs2Au, with properties calculated at the PBE-GGA level.

Cell: 6.727 6.727 6.727 Å, 90.00 90.00 90.00°
Space group F-43m (No. 216)
Asymmetric unit:
Sc 0.000 0.000 0.000 (multiplicity 4)
As 0.000 0.000 0.500 (multiplicity 4)
As 0.250 0.250 0.750 (multiplicity 4)
Au 0.250 0.250 0.250 (multiplicity 4)

V, Å³ per atom: 19.03
Energy, eV per atom: -4.98

# 11
Below is a relaxed structure of ScAsAu2, with properties calculated at the PBE-GGA level.

Cell: 6.652 6.652 6.652 Å, 90.00 90.00 90.00°
Space group F-43m (No. 216)
Asymmetric unit:
Sc 0.000 0.000 0.000 (multiplicity 4)
As 0.250 0.250 0.750 (multiplicity 4)
Au 0.000 0.000 0.500 (multiplicity 4)
Au 0.250 0.250 0.250 (multiplicity 4)

V, Å³ per atom: 18.40
Energy, eV per atom: -4.84

# 12
Below is a relaxed structure of ScAsAu, with properties calculated at the PBE-GGA level.

Cell: 4.6442 4.6442 9.3506 Å, 90.00 90.00 120.00°
Space group P-6m2 (No. 187)
Asymmetric unit:
Sc 0.0000 0.0000 0.0000 (multiplicity 1)
Sc 0.6667 0.3333 0.2965 (multiplicity 2)
As 0.0000 0.0000 0.3178 (multiplicity 2)
As 0.6667 0.3333 0.0000 (multiplicity 1)
Au 0.3333 0.6667 0.1697 (multiplicity 2)
Au 0.3333 0.6667 0.5000 (multiplicity 1)

V, Å³ per atom: 19.41
Energy, eV per atom: -5.28

- Which value of V does entry 11 give?
  18.40 Å³ per atom

- Which of these has the highest V?
  Rb5As2Au

- Which of these has the highest V?
  Rb5As2Au